Crystalline TlGeAu4 at its relaxed geometry. Source: the Alexandria database, functional PBE.

The structure in CIF format:
```
data_TlGeAu4
_space_group_name_H-M_alt 'C 1 2/m 1'
_space_group_IT_number 12
_cell_length_a 13.699
_cell_length_b 5.955
_cell_length_c 6.731
_cell_angle_alpha 90.00
_cell_angle_beta 90.21
_cell_angle_gamma 90.00
loop_
_space_group_symop_operation_xyz
'x,y,z'
'-x,-y,-z'
'-x,y,-z'
'x,-y,z'
'x+1/2,y+1/2,z'
'-x+1/2,-y+1/2,-z'
'-x+1/2,y+1/2,-z'
'x+1/2,-y+1/2,z'
loop_
_atom_site_label
_atom_site_type_symbol
_atom_site_fract_x
_atom_site_fract_y
_atom_site_fract_z
Tl1 Tl 0.211 0.000 0.340
Ge1 Ge 0.053 0.500 0.214
Au1 Au 0.000 0.230 0.500
Au2 Au 0.093 0.234 0.877
Au3 Au 0.233 0.500 0.139
```

## Properties
Energy relative to the elements (eV/atom): 0.024